AcHoNp (GGA-PBE, optimized geometry); calculated volume = 37.66 A^3/atom; symmetry = F-43m, No. 216; E above lowest polymorph = 103.4 meV/atom; formation energy = 366 kJ/mol of formula units; total moment = 6.141 μB per cell
1.0
0.0000 3.8369 3.8369
3.8369 0.0000 3.8369
3.8369 3.8369 0.0000
Ac Ho Np
1 1 1
direct
0.0000 0.0000 0.0000 Ac
0.7500 0.7500 0.7500 Ho
0.2500 0.2500 0.2500 Np